[1]
Material: AcThPb
Method: DFT, GGA-PBE
State: optimized geometry

a b c (Å): 5.488 5.488 5.488
angles (deg): 60.00 60.00 60.00
Atoms (fractional coordinates):
Ac 0.000 0.000 0.000
Pb 0.750 0.750 0.750
Th 0.500 0.500 0.500

Computed properties:
As for the volume: 38.95 A^3/atom. As for the space-group type: F-43m (216). The calculation puts the calculated density at 9.47 Mg/m³. The total energy comes out at -0.3697 Ry/atom. The excess energy over the best structure of this formula in the dataset comes out at 0.0 meV/atom.

[2]
Material: AcTmPb
Method: DFT, GGA-PBE
State: optimized geometry

a b c (Å): 5.419 5.419 5.419
angles (deg): 60.00 60.00 60.00
Atoms (fractional coordinates):
Ac 0.250 0.250 0.250
Pb 0.000 0.000 0.000
Tm 0.750 0.750 0.750

Computed properties:
As for the volume: 37.52 A^3/atom. As for the space-group type: F-43m (216). The calculation puts the calculated density at 8.90 Mg/m³. The total energy comes out at -0.3101 Ry/atom. The excess energy over the best structure of this formula in the dataset comes out at 0.0 meV/atom.

[3]
Material: AcTmPb
Method: DFT, GGA-PBE
State: optimized geometry

a b c (Å): 5.576 5.576 5.576
angles (deg): 60.00 60.00 60.00
Atoms (fractional coordinates):
Ac 0.000 0.000 0.000
Pb 0.250 0.250 0.250
Tm 0.750 0.750 0.750

Computed properties:
As for the volume: 40.86 A^3/atom. As for the space-group type: F-43m (216). The calculation puts the calculated density at 8.17 Mg/m³. The total energy comes out at -0.2716 Ry/atom. The excess energy over the best structure of this formula in the dataset comes out at 525.0 meV/atom.

[4]
Material: AcUPb
Method: DFT, GGA-PBE
State: optimized geometry

a b c (Å): 5.480 5.480 5.480
angles (deg): 60.00 60.00 60.00
Atoms (fractional coordinates):
Ac 0.000 0.000 0.000
Pb 0.750 0.750 0.750
U 0.500 0.500 0.500

Computed properties:
As for the volume: 38.78 A^3/atom. As for the space-group type: F-43m (216). The calculation puts the calculated density at 9.59 Mg/m³. The total energy comes out at -0.4271 Ry/atom. The excess energy over the best structure of this formula in the dataset comes out at 0.0 meV/atom.

[5]
Material: AcZrPb
Method: DFT, GGA-PBE
State: optimized geometry

a b c (Å): 5.271 5.271 5.271
angles (deg): 60.00 60.00 60.00
Atoms (fractional coordinates):
Ac 0.250 0.250 0.250
Pb 0.000 0.000 0.000
Zr 0.750 0.750 0.750

Computed properties:
As for the volume: 34.52 A^3/atom. As for the space-group type: F-43m (216). The calculation puts the calculated density at 8.42 Mg/m³. The total energy comes out at -0.3853 Ry/atom. The excess energy over the best structure of this formula in the dataset comes out at 0.0 meV/atom.

[6]
Material: AcZrPb
Method: DFT, GGA-PBE
State: optimized geometry

a b c (Å): 5.446 5.446 5.446
angles (deg): 60.00 60.00 60.00
Atoms (fractional coordinates):
Ac 0.000 0.000 0.000
Pb 0.250 0.250 0.250
Zr 0.750 0.750 0.750

Computed properties:
As for the volume: 38.07 A^3/atom. As for the space-group type: F-43m (216). The calculation puts the calculated density at 7.64 Mg/m³. The total energy comes out at -0.3415 Ry/atom. The excess energy over the best structure of this formula in the dataset comes out at 595.9 meV/atom.

[7]
Material: AcPrPd
Method: DFT, GGA-PBE
State: optimized geometry

a b c (Å): 5.189 5.189 5.189
angles (deg): 60.00 60.00 60.00
Atoms (fractional coordinates):
Ac 0.250 0.250 0.250
Pd 0.000 0.000 0.000
Pr 0.750 0.750 0.750

Computed properties:
As for the volume: 32.93 A^3/atom. As for the space-group type: F-43m (216). The calculation puts the calculated density at 7.97 Mg/m³. As for the formation energy: -0.34 eV/atom. The total energy comes out at -0.3695 Ry/atom.

[8]
Material: AcPdPt
Method: DFT, GGA-PBE
State: optimized geometry

a b c (Å): 4.764 4.764 4.764
angles (deg): 60.00 60.00 60.00
Atoms (fractional coordinates):
Ac 0.250 0.250 0.250
Pd 0.000 0.000 0.000
Pt 0.750 0.750 0.750

Computed properties:
As for the volume: 25.48 A^3/atom. As for the space-group type: F-43m (216). The calculation puts the calculated density at 11.48 Mg/m³. As for the formation energy: -0.71 eV/atom. The total energy comes out at -0.4276 Ry/atom. The excess energy over the best structure of this formula in the dataset comes out at 0.0 meV/atom.

[9]
Material: AcPdPt
Method: DFT, GGA-PBE
State: optimized geometry

a b c (Å): 4.904 4.904 4.904
angles (deg): 60.00 60.00 60.00
Atoms (fractional coordinates):
Ac 0.000 0.000 0.000
Pd 0.250 0.250 0.250
Pt 0.750 0.750 0.750

Computed properties:
As for the volume: 27.79 A^3/atom. As for the space-group type: F-43m (216). The calculation puts the calculated density at 10.53 Mg/m³. As for the formation energy: -0.32 eV/atom. The total energy comes out at -0.3993 Ry/atom. The excess energy over the best structure of this formula in the dataset comes out at 384.6 meV/atom.

[10]
Material: AcSbPd
Method: DFT, GGA-PBE
State: optimized geometry

a b c (Å): 4.976 4.976 4.976
angles (deg): 60.00 60.00 60.00
Atoms (fractional coordinates):
Ac 0.250 0.250 0.250
Pd 0.000 0.000 0.000
Sb 0.750 0.750 0.750

Computed properties:
As for the volume: 29.03 A^3/atom. As for the space-group type: F-43m (216). The calculation puts the calculated density at 8.68 Mg/m³. The total energy comes out at -0.4049 Ry/atom. The excess energy over the best structure of this formula in the dataset comes out at 61.5 meV/atom.

[11]
Material: AcSb2Pd2
Method: DFT, GGA-PBE
State: optimized geometry

a b c (Å): 4.756 4.756 10.601
angles (deg): 90.00 90.00 90.00
Atoms (fractional coordinates):
Ac 0.000 0.500 0.241
Ac 0.500 0.000 0.759
Pd 0.000 0.000 0.000
Pd 0.500 0.500 0.000
Pd 0.500 0.000 0.376
Pd 0.000 0.500 0.624
Sb 0.500 0.000 0.126
Sb 0.000 0.000 0.500
Sb 0.500 0.500 0.500
Sb 0.000 0.500 0.874

Computed properties:
As for the volume: 23.98 A^3/atom. As for the space-group type: P4/nmm (129). The calculation puts the calculated density at 9.46 Mg/m³. The total energy comes out at -0.4002 Ry/atom.

[12]
Material: AcSbPd
Method: DFT, GGA-PBE
State: optimized geometry

a b c (Å): 4.671 4.671 4.390
angles (deg): 90.00 90.00 120.00
Atoms (fractional coordinates):
Ac 0.333 0.667 0.667
Pd 0.000 0.000 0.166
Sb 0.667 0.333 0.167

Computed properties:
As for the volume: 27.65 A^3/atom. As for the space-group type: P-6m2 (187). The calculation puts the calculated density at 9.11 Mg/m³. The total energy comes out at -0.4094 Ry/atom. The excess energy over the best structure of this formula in the dataset comes out at 0.0 meV/atom.

[13]
Material: AcSbPd
Method: DFT, GGA-PBE
State: optimized geometry

a b c (Å): 5.247 5.247 5.247
angles (deg): 60.00 60.00 60.00
Atoms (fractional coordinates):
Ac 0.000 0.000 0.000
Pd 0.250 0.250 0.250
Sb 0.750 0.750 0.750

Computed properties:
As for the volume: 34.05 A^3/atom. As for the space-group type: F-43m (216). The calculation puts the calculated density at 7.40 Mg/m³. The total energy comes out at -0.3467 Ry/atom. The excess energy over the best structure of this formula in the dataset comes out at 853.5 meV/atom.

[14]
Material: Ac2Sb3Pd5
Method: DFT, GGA-PBE
State: optimized geometry

a b c (Å): 8.988 8.988 8.988
angles (deg): 103.36 92.49 136.52
Atoms (fractional coordinates):
Ac 0.372 0.727 0.099
Ac 0.128 0.227 0.356
Ac 0.872 0.773 0.644
Ac 0.628 0.273 0.901
Pd 0.250 0.250 0.000
Pd 0.750 0.750 0.000
Pd 0.892 0.349 0.241
Pd 0.517 0.250 0.267
Pd 0.017 0.750 0.267
Pd 0.608 0.849 0.457
Pd 0.392 0.151 0.543
Pd 0.983 0.250 0.733
Pd 0.483 0.750 0.733
Pd 0.108 0.651 0.759
Sb 0.135 0.884 0.019
Sb 0.635 0.616 0.252
Sb 0.750 0.250 0.500
Sb 0.250 0.750 0.500
Sb 0.365 0.384 0.748
Sb 0.865 0.116 0.981

Computed properties:
As for the volume: 23.07 A^3/atom. As for the space-group type: Ibam (72). The calculation puts the calculated density at 9.73 Mg/m³. The total energy comes out at -0.4038 Ry/atom.

[15]
Material: AcScPd
Method: DFT, GGA-PBE
State: optimized geometry

a b c (Å): 4.990 4.990 4.990
angles (deg): 60.00 60.00 60.00
Atoms (fractional coordinates):
Ac 0.250 0.250 0.250
Pd 0.000 0.000 0.000
Sc 0.750 0.750 0.750

Computed properties:
As for the volume: 29.29 A^3/atom. As for the space-group type: F-43m (216). The calculation puts the calculated density at 7.15 Mg/m³. As for the formation energy: -0.30 eV/atom. The total energy comes out at -0.4044 Ry/atom. The excess energy over the best structure of this formula in the dataset comes out at 0.0 meV/atom.

[16]
Material: Ac2Si5Pd3
Method: DFT, GGA-PBE
State: optimized geometry

a b c (Å): 8.527 8.527 8.527
angles (deg): 106.37 88.75 137.72
Atoms (fractional coordinates):
Ac 0.373 0.763 0.136
Ac 0.127 0.263 0.390
Ac 0.873 0.737 0.610
Ac 0.627 0.237 0.864
Pd 0.250 0.250 0.000
Pd 0.750 0.750 0.000
Pd 0.864 0.390 0.254
Pd 0.364 0.110 0.474
Pd 0.636 0.890 0.526
Pd 0.136 0.610 0.746
Si 0.882 0.140 0.023
Si 0.481 0.250 0.231
Si 0.981 0.750 0.231
Si 0.618 0.640 0.258
Si 0.750 0.250 0.500
Si 0.250 0.750 0.500
Si 0.382 0.360 0.742
Si 0.019 0.250 0.769
Si 0.519 0.750 0.769
Si 0.118 0.860 0.977

Computed properties:
As for the volume: 19.15 A^3/atom. As for the space-group type: Ibam (72). The calculation puts the calculated density at 7.92 Mg/m³. The total energy comes out at -0.4316 Ry/atom.

[17]
Material: AcSiPd
Method: DFT, GGA-PBE
State: optimized geometry

a b c (Å): 4.804 4.804 4.804
angles (deg): 60.00 60.00 60.00
Atoms (fractional coordinates):
Ac 0.250 0.250 0.250
Pd 0.000 0.000 0.000
Si 0.750 0.750 0.750

Computed properties:
As for the volume: 26.13 A^3/atom. As for the space-group type: F-43m (216). The calculation puts the calculated density at 7.66 Mg/m³. The total energy comes out at -0.3944 Ry/atom. The excess energy over the best structure of this formula in the dataset comes out at 404.5 meV/atom.

[18]
Material: AcSiPd
Method: DFT, GGA-PBE
State: optimized geometry

a b c (Å): 4.303 4.303 4.524
angles (deg): 90.00 90.00 120.00
Atoms (fractional coordinates):
Ac 0.000 0.000 0.333
Pd 0.667 0.333 0.833
Si 0.333 0.667 0.834

Computed properties:
As for the volume: 24.18 A^3/atom. As for the space-group type: P-6m2 (187). The calculation puts the calculated density at 8.27 Mg/m³. The total energy comes out at -0.4241 Ry/atom. The excess energy over the best structure of this formula in the dataset comes out at 0.0 meV/atom.

[19]
Material: Ac2Si3Pd
Method: DFT, GGA-PBE
State: optimized geometry

a b c (Å): 8.638 8.453 6.246
angles (deg): 70.15 67.00 42.85
Atoms (fractional coordinates):
Ac 0.250 0.250 0.250
Ac 0.252 0.748 0.252
Ac 0.748 0.252 0.748
Ac 0.750 0.750 0.750
Pd 0.833 0.833 0.167
Pd 0.167 0.167 0.833
Si 0.830 0.335 0.170
Si 0.665 0.170 0.335
Si 0.664 0.664 0.336
Si 0.336 0.336 0.664
Si 0.335 0.830 0.665
Si 0.170 0.665 0.830

Computed properties:
As for the volume: 23.71 A^3/atom. As for the space-group type: Fmmm (69). The calculation puts the calculated density at 7.53 Mg/m³. The total energy comes out at -0.4250 Ry/atom.

[20]
Material: AcSiPd
Method: DFT, GGA-PBE
State: optimized geometry

a b c (Å): 4.993 4.993 4.993
angles (deg): 60.00 60.00 60.00
Atoms (fractional coordinates):
Ac 0.000 0.000 0.000
Pd 0.250 0.250 0.250
Si 0.750 0.750 0.750

Computed properties:
As for the volume: 29.35 A^3/atom. As for the space-group type: F-43m (216). The calculation puts the calculated density at 6.82 Mg/m³. The total energy comes out at -0.3463 Ry/atom. The excess energy over the best structure of this formula in the dataset comes out at 1058.5 meV/atom.